# 1
PBE Sr2As2HRh2, relaxed; DOS(E_F) = 0.519 states/eV per atom; E = -5.151 eV per atom
1.0
5.637 -2.128 0.000
5.637 2.128 0.000
-4.392 0.000 5.838
Sr As H Rh
2 2 1 2
Direct
0.052 0.052 0.298
0.948 0.948 0.702
0.313 0.313 0.269
0.687 0.687 0.731
0.500 0.500 0.000
0.306 0.306 0.926
0.694 0.694 0.074



# 2
PBE TbAsH2Rh, relaxed; DOS(E_F) = 0.345 states/eV per atom; E = -5.381 eV per atom
1.0
1.916 -5.032 0.000
1.916 5.032 0.000
0.000 0.000 6.640
Tb As H Rh
2 2 4 2
Direct
0.218 0.782 0.750
0.782 0.218 0.250
0.064 0.936 0.250
0.936 0.064 0.750
0.331 0.669 0.056
0.331 0.669 0.444
0.669 0.331 0.556
0.669 0.331 0.944
0.500 0.500 0.000
0.500 0.500 0.500



# 3
PBE TbAsHRh2, relaxed; DOS(E_F) = 0.360 states/eV per atom; E = -6.266 eV per atom
1.0
1.942 -5.325 0.000
1.942 5.325 0.000
0.000 0.000 7.234
Tb As H Rh
2 2 2 4
Direct
0.055 0.945 0.750
0.945 0.055 0.250
0.225 0.775 0.250
0.775 0.225 0.750
0.500 0.500 0.000
0.500 0.500 0.500
0.343 0.657 0.552
0.343 0.657 0.948
0.657 0.343 0.052
0.657 0.343 0.448



# 4
PBE TmAsHRh, relaxed; DOS(E_F) = 0.291 states/eV per atom; E = -5.818 eV per atom
1.0
3.998 0.000 0.000
0.000 3.998 0.000
0.000 0.000 7.185
Tm As H Rh
2 2 2 2
Direct
0.250 0.250 0.155
0.750 0.750 0.845
0.250 0.250 0.712
0.750 0.750 0.288
0.250 0.750 0.000
0.750 0.250 0.000
0.250 0.750 0.500
0.750 0.250 0.500



# 5
PBE TmAsHRh2, relaxed; DOS(E_F) = 0.341 states/eV per atom; E = -6.217 eV per atom
1.0
1.904 -5.321 0.000
1.904 5.321 0.000
0.000 0.000 7.224
Tm As H Rh
2 2 2 4
Direct
0.050 0.950 0.750
0.950 0.050 0.250
0.229 0.771 0.250
0.771 0.229 0.750
0.500 0.500 0.000
0.500 0.500 0.500
0.345 0.655 0.552
0.345 0.655 0.948
0.655 0.345 0.052
0.655 0.345 0.448



# 6
PBE UAsHRh, relaxed; DOS(E_F) = 1.433 states/eV per atom; E = -7.292 eV per atom
1.0
4.300 0.000 0.000
-2.150 3.724 0.000
0.000 0.000 3.747
U As H Rh
1 1 1 1
Direct
0.000 0.000 0.000
0.333 0.667 0.519
0.667 0.333 0.978
0.667 0.333 0.467



# 7
PBE V2AsHRh, relaxed; DOS(E_F) = 0.895 states/eV per atom; E = -6.940 eV per atom
1.0
3.723 0.000 0.000
0.000 3.723 0.000
0.000 0.000 4.146
V As H Rh
2 1 1 1
Direct
0.000 0.500 0.000
0.500 0.000 0.000
0.000 0.000 0.500
0.500 0.500 0.000
0.500 0.500 0.500



# 8
PBE YAsHRh, relaxed; DOS(E_F) = 0.372 states/eV per atom; E = -6.344 eV per atom
1.0
4.028 0.000 0.000
0.000 4.028 0.000
0.000 0.000 7.333
Y As H Rh
2 2 2 2
Direct
0.250 0.250 0.157
0.750 0.750 0.843
0.250 0.250 0.705
0.750 0.750 0.295
0.250 0.750 0.000
0.750 0.250 0.000
0.250 0.750 0.500
0.750 0.250 0.500



# 9
PBE ZrAsH2Rh, relaxed; DOS(E_F) = 0.626 states/eV per atom; E = -5.412 eV per atom
1.0
3.676 0.000 0.000
0.000 3.676 0.000
0.000 0.000 5.365
Zr As H Rh
1 1 2 1
Direct
0.000 0.000 0.000
0.000 0.000 0.500
0.000 0.500 0.000
0.500 0.000 0.000
0.500 0.500 0.500



# 10
PBE ZrAsHRh2, relaxed; DOS(E_F) = 0.616 states/eV per atom; E = -6.741 eV per atom
1.0
3.968 0.000 0.000
0.000 3.968 0.000
0.000 0.000 4.285
Zr As H Rh
1 1 1 2
Direct
0.000 0.000 0.000
0.500 0.500 0.000
0.000 0.000 0.500
0.000 0.500 0.500
0.500 0.000 0.500



# 11
PBE AsH2Ru, relaxed; energy above the lowest structure with this stoichiometry = 0.402 eV per atom; DOS(E_F) = 0.836 states/eV per atom
1.0
0.000 2.667 2.667
2.667 0.000 2.667
2.667 2.667 0.000
As H Ru
1 2 1
Direct
0.000 0.000 0.000
0.250 0.250 0.250
0.750 0.750 0.750
0.500 0.500 0.500



# 12
PBE AsHRu3, relaxed; energy above the lowest structure with this stoichiometry = 0.000 eV per atom; DOS(E_F) = 1.506 states/eV per atom
1.0
3.908 0.000 0.000
0.000 3.908 0.000
0.000 0.000 3.908
As H Ru
1 1 3
Direct
0.000 0.000 0.000
0.500 0.500 0.500
0.000 0.500 0.500
0.500 0.000 0.500
0.500 0.500 0.000



# 13
PBE AsH2Ru, relaxed; energy above the lowest structure with this stoichiometry = 0.000 eV per atom; DOS(E_F) = 0.673 states/eV per atom
1.0
-2.007 2.007 5.131
2.007 -2.007 5.131
2.007 2.007 -5.131
As H Ru
2 4 2
Direct
0.000 0.000 0.000
0.750 0.250 0.500
0.251 0.625 0.126
0.375 0.501 0.626
0.499 0.125 0.874
0.875 0.749 0.374
0.250 0.750 0.500
0.500 0.500 0.000



# 14
PBE AsHRu, relaxed; energy above the lowest structure with this stoichiometry = 0.000 eV per atom; DOS(E_F) = 0.543 states/eV per atom
1.0
0.000 4.435 4.087
4.151 0.000 4.087
4.151 4.435 0.000
As H Ru
4 4 4
Direct
0.098 0.902 0.303
0.553 0.947 0.348
0.902 0.098 0.697
0.947 0.553 0.152
0.440 0.540 0.725
0.525 0.955 0.810
0.540 0.440 0.295
0.955 0.525 0.710
0.203 0.403 0.427
0.283 0.823 0.847
0.403 0.203 0.967
0.823 0.283 0.047



# 15
PBE AsHRu, relaxed; energy above the lowest structure with this stoichiometry = 0.040 eV per atom; DOS(E_F) = 0.148 states/eV per atom
1.0
4.101 0.000 0.000
0.000 4.101 0.000
0.000 0.000 5.627
As H Ru
2 2 2
Direct
0.250 0.250 0.224
0.750 0.750 0.776
0.250 0.250 0.499
0.750 0.750 0.501
0.250 0.750 0.000
0.750 0.250 0.000



# 16
PBE AsH2Ru2, relaxed; DOS(E_F) = 0.692 states/eV per atom; E = -5.909 eV per atom
1.0
-1.511 1.511 5.352
1.511 -1.511 5.352
1.511 1.511 -5.352
As H Ru
1 2 2
Direct
0.000 0.000 0.000
0.250 0.750 0.500
0.750 0.250 0.500
0.362 0.362 0.000
0.638 0.638 0.000



# 17
PBE ScAsHRu, relaxed; DOS(E_F) = 0.619 states/eV per atom; E = -6.546 eV per atom
1.0
4.018 0.000 0.000
0.000 4.018 0.000
0.000 0.000 6.754
Sc As H Ru
2 2 2 2
Direct
0.250 0.250 0.151
0.750 0.750 0.849
0.250 0.250 0.704
0.750 0.750 0.296
0.250 0.750 0.000
0.750 0.250 0.000
0.250 0.750 0.500
0.750 0.250 0.500



# 18
PBE SmAsHRu, relaxed; DOS(E_F) = 0.616 states/eV per atom; E = -6.292 eV per atom
1.0
4.137 0.000 0.000
0.000 4.137 0.000
0.000 0.000 7.428
Sm As H Ru
2 2 2 2
Direct
0.250 0.250 0.165
0.750 0.750 0.835
0.250 0.250 0.679
0.750 0.750 0.321
0.250 0.750 0.000
0.750 0.250 0.000
0.250 0.750 0.500
0.750 0.250 0.500



# 19
PBE SrAsH2Ru, relaxed; DOS(E_F) = 0.428 states/eV per atom; E = -4.606 eV per atom
1.0
4.136 0.000 0.000
0.000 4.136 0.000
0.000 0.000 4.651
Sr As H Ru
1 1 2 1
Direct
0.000 0.000 0.000
0.500 0.500 0.000
0.000 0.500 0.500
0.500 0.000 0.500
0.500 0.500 0.500



# 20
PBE TaAsHRu2, relaxed; DOS(E_F) = 0.808 states/eV per atom; E = -7.150 eV per atom
1.0
4.758 0.000 0.000
0.000 4.758 0.000
0.000 0.000 3.158
Ta As H Ru
1 1 1 2
Direct
0.000 0.000 0.000
0.500 0.500 0.500
0.500 0.500 0.000
0.000 0.500 0.500
0.500 0.000 0.500